1.
Computed, not measured: a relaxed structure of KBa2SnRh at the GGA-PBE level of DFT.

Computed properties:
SG = P4/mmm (123)
DOS(E_F) = 3.38 states/eV/f.u.
Energy of formation = -268 meV/atom

a = 6.171 Å, b = 6.171 Å, c = 5.284 Å
α = 90.00°, β = 90.00°, γ = 90.00°
Positions (direct):
K  0.000  0.000  0.000
Ba  0.000  0.500  0.500
Ba  0.500  0.000  0.500
Sn  0.500  0.500  0.000
Rh  0.500  0.500  0.500

2.
Computed, not measured: a relaxed structure of AgMoSe2N at the GGA-PBE level of DFT.

Computed properties:
SG = P4/mmm (123)
DOS(E_F) = 2.47 states/eV/f.u.
Uncorrected formation energy = 1.470 eV per atom
Distance to the lowest polymorph of the same formula = 1.2148 eV/atom

a = 5.167 Å, b = 5.167 Å, c = 3.892 Å
α = 90.00°, β = 90.00°, γ = 90.00°
Positions (direct):
Ag  0.000  0.000  0.000
Mo  0.500  0.500  0.500
Se  0.000  0.500  0.000
Se  0.500  0.000  0.000
N  0.000  0.000  0.500

3.
Computed, not measured: a relaxed structure of DyMg3Pb4 at the GGA-PBE level of DFT.

Computed properties:
SG = Pmmm (47)
DOS(E_F) = 3.21 states/eV/f.u.
Energy of formation = -166 meV/atom

a = 3.969 Å, b = 5.122 Å, c = 10.479 Å
α = 90.00°, β = 90.00°, γ = 90.00°
Positions (direct):
Dy  0.000  0.000  0.000
Mg  0.000  0.000  0.500
Mg  0.000  0.500  0.249
Mg  0.000  0.500  0.751
Pb  0.500  0.000  0.260
Pb  0.500  0.000  0.740
Pb  0.500  0.500  0.000
Pb  0.500  0.500  0.500

4.
Computed, not measured: a relaxed structure of Mn2TcSe at the GGA-PBE level of DFT.

Computed properties:
SG = F-43m (216)
DOS(E_F) = 2.08 states/eV/f.u.
Uncorrected formation energy = 0.221 eV per atom

a = 4.216 Å, b = 4.216 Å, c = 4.216 Å
α = 60.00°, β = 60.00°, γ = 60.00°
Positions (direct):
Mn  0.000  0.000  0.000
Mn  0.250  0.250  0.250
Tc  0.500  0.500  0.500
Se  0.750  0.750  0.750

5.
Computed, not measured: a relaxed structure of MoPt3 at the GGA-PBE level of DFT.

Computed properties:
SG = Imm2 (44)
DOS(E_F) = 4.62 states/eV/f.u.
Energy of formation = -163 meV/atom

a = 5.376 Å, b = 5.376 Å, c = 5.376 Å
α = 149.78°, β = 62.89°, γ = 126.28°
Positions (direct):
Mo  0.000  0.000  0.000
Pt  0.087  0.344  0.743
Pt  0.494  0.994  0.500
Pt  0.601  0.344  0.257

6.
Computed, not measured: a relaxed structure of TiSiN2 at the GGA-PBE level of DFT.

Computed properties:
SG = R-3m (166)
DOS(E_F) = 0.24 states/eV/f.u.
Uncorrected formation energy = -0.463 eV per atom

a = 6.063 Å, b = 6.063 Å, c = 6.063 Å
α = 27.60°, β = 27.60°, γ = 27.60°
Positions (direct):
Ti  0.000  0.000  0.000
Si  0.500  0.500  0.500
N  0.112  0.112  0.112
N  0.888  0.888  0.888

7.
Computed, not measured: a relaxed structure of TbNdHo6 at the GGA-PBE level of DFT.

Computed properties:
SG = R-3 (148)
DOS(E_F) = 12.84 states/eV/f.u.
Distance to the lowest polymorph of the same formula = 0.0000 eV/atom
Energy of formation = 151 meV/atom

a = 6.436 Å, b = 6.436 Å, c = 6.436 Å
α = 96.56°, β = 96.56°, γ = 96.56°
Positions (direct):
Tb  0.000  0.000  0.000
Nd  0.500  0.500  0.500
Ho  0.046  0.752  0.454
Ho  0.248  0.546  0.954
Ho  0.454  0.046  0.752
Ho  0.546  0.954  0.248
Ho  0.752  0.454  0.046
Ho  0.954  0.248  0.546

8.
Computed, not measured: a relaxed structure of Sr2PtAu3 at the GGA-PBE level of DFT.

Computed properties:
SG = Pmm2 (25)
DOS(E_F) = 2.39 states/eV/f.u.
Energy of formation = -710 meV/atom

a = 4.022 Å, b = 4.686 Å, c = 8.209 Å
α = 90.00°, β = 90.00°, γ = 90.00°
Positions (direct):
Sr  0.000  0.000  0.000
Sr  0.000  0.500  0.472
Pt  0.500  0.000  0.316
Au  0.500  0.000  0.644
Au  0.500  0.500  0.155
Au  0.500  0.500  0.820

9.
Computed, not measured: a relaxed structure of RbNaSrGe at the GGA-PBE level of DFT.

Computed properties:
SG = F-43m (216)
DOS(E_F) = 0.68 states/eV/f.u.
Energy of formation = -67 meV/atom

a = 5.646 Å, b = 5.646 Å, c = 5.646 Å
α = 60.00°, β = 60.00°, γ = 60.00°
Positions (direct):
Rb  0.000  0.000  0.000
Na  0.750  0.750  0.750
Sr  0.250  0.250  0.250
Ge  0.500  0.500  0.500

10.
Computed, not measured: a relaxed structure of BeGaBN2 at the GGA-PBE level of DFT.

Computed properties:
SG = P4/mmm (123)
DOS(E_F) = 2.79 states/eV/f.u.
Uncorrected formation energy = 2.098 eV per atom

a = 3.869 Å, b = 3.869 Å, c = 4.099 Å
α = 90.00°, β = 90.00°, γ = 90.00°
Positions (direct):
Be  0.000  0.000  0.000
Ga  0.500  0.500  0.500
B  0.500  0.500  0.000
N  0.000  0.500  0.500
N  0.500  0.000  0.500

11.
Computed, not measured: a relaxed structure of PSBrN2 at the GGA-PBE level of DFT.

Computed properties:
SG = P4/mmm (123)
DOS(E_F) = 2.40 states/eV/f.u.
Uncorrected formation energy = 1.014 eV per atom
Distance to the lowest polymorph of the same formula = 0.0000 eV/atom

a = 3.449 Å, b = 3.449 Å, c = 5.975 Å
α = 90.00°, β = 90.00°, γ = 90.00°
Positions (direct):
P  0.000  0.000  0.000
S  0.000  0.000  0.500
Br  0.500  0.500  0.500
N  0.000  0.500  0.000
N  0.500  0.000  0.000

12.
Computed, not measured: a relaxed structure of BaTaPtC2 at the GGA-PBE level of DFT.

Computed properties:
SG = P4/mmm (123)
DOS(E_F) = 5.46 states/eV/f.u.
Energy of formation = 3507 meV/atom

a = 4.333 Å, b = 4.333 Å, c = 5.892 Å
α = 90.00°, β = 90.00°, γ = 90.00°
Positions (direct):
Ba  0.000  0.000  0.000
Ta  0.000  0.000  0.500
Pt  0.500  0.500  0.500
C  0.000  0.500  0.000
C  0.500  0.000  0.000

Q: Which of these has the highest DOS(E_F)?
A: TbNdHo6